Arrangement w

Compound: GaFeBi2O6
Source: Alexandria via LeMat-Bulk
Functional: PBE+U
Structure: relaxed

Properties
Density of states at the Fermi level: 0.000 states/eV per atom
Space group: No. 14
Total moment: 0.5005 μB/atom

Cell: 5.474 5.703 7.839 Å, 90.00 89.96 90.00°
Element x y z (fractional)
Ga 0.500 0.000 0.500
Ga 0.000 0.500 0.000
Fe 0.500 0.000 0.000
Fe 0.000 0.500 0.500
Bi 0.010 0.947 0.250
Bi 0.510 0.553 0.750
Bi 0.990 0.053 0.750
Bi 0.490 0.447 0.250
O 0.302 0.698 0.046
O 0.802 0.802 0.546
O 0.698 0.302 0.954
O 0.198 0.198 0.454
O 0.305 0.702 0.454
O 0.805 0.798 0.954
O 0.695 0.298 0.546
O 0.195 0.202 0.046
O 0.905 0.528 0.248
O 0.405 0.972 0.748
O 0.095 0.472 0.752
O 0.595 0.028 0.252



Arrangement x

Compound: GaFeBi2O6
Source: Alexandria via LeMat-Bulk
Functional: PBE+U
Structure: relaxed

Properties
Density of states at the Fermi level: 0.000 states/eV per atom
Space group: No. 8
Total moment: 0.5020 μB/atom

Cell: 3.865 6.147 6.149 Å, 73.80 86.43 86.44°
Element x y z (fractional)
Ga 0.547 0.011 0.552
Fe 0.546 0.513 0.055
Bi 0.972 0.976 0.016
Bi 0.971 0.475 0.518
O 0.601 0.822 0.364
O 0.604 0.324 0.866
O 0.044 0.076 0.618
O 0.040 0.579 0.121
O 0.546 0.332 0.382
O 0.546 0.841 0.874



Least stable of them? arrangement w.